A plane-wave DFT calculation with PBE-GGA was carried out for an optimized crystal structure of Sr2PBr.

a b c (Å): 8.336 8.336 8.336
angles (deg): 152.04 150.95 40.76
Fractional positions:
Sr1 0.000 0.000 0.000
Sr2 0.707 0.207 0.500
P1 0.569 0.569 0.000
Br1 0.314 0.814 0.500

Summary:
The calculation puts the magnetization at 0.00 μB/f.u. As for the calculated volume: 32.91 Å³ per atom. The value obtained for the formation energy from raw total energies is -5.4 eV per formula unit. The total DFT energy (no corrections) is -3.96 eV per atom.